Here is SrTlAgI4 after structural relaxation from the Alexandria database. Energies are from PBE.

Properties
Formation energy (no corrections): -0.96 eV per atom
DFT total energy: -0.104 hartree per atom

a = 7.7533 Å, b = 8.3052 Å, c = 9.5251 Å
α = 90.00°, β = 107.43°, γ = 90.00°
Space group P2_1/m (No. 11)
Unique sites:
Sr  0.2234  0.2500  0.0578
Tl  0.2207  0.2500  0.5490
Ag  0.2386  0.7500  0.8178
I  0.0151  0.5103  0.2274
I  0.4529  0.7500  0.6256
I  0.4686  0.7500  0.1132